Record 1
Below is SiBr4 after structural relaxation, with properties calculated at the PBE level.

Lattice parameters (Å, degrees): 6.369 6.369 10.886 90.00 90.00 90.00
Space group I-42m (No. 121)
Asymmetric unit:
Si1 0.000 0.000 0.000 (multiplicity 2)
Br1 0.200 0.200 0.882 (multiplicity 8)

Summary:
Uncorrected formation energy in eV/f.u.: -4.0
Total magnetization in μB/cell: 0.00

=====

Record 2
Below is Si2Br after structural relaxation, with properties calculated at the PBE level.

Lattice parameters (Å, degrees): 3.360 25.988 3.432 90.00 90.00 90.00
Space group Cmcm (No. 63)
Asymmetric unit:
Si1 0.000 0.035 0.250 (multiplicity 4)
Si2 0.000 0.250 0.750 (multiplicity 4)
Br1 0.000 0.404 0.250 (multiplicity 4)

Summary:
Uncorrected formation energy in eV/f.u.: 1.8
Total magnetization in μB/cell: 0.00

=====

Record 3
Below is Si2Br after structural relaxation, with properties calculated at the PBE level.

Lattice parameters (Å, degrees): 7.568 9.899 4.069 90.00 119.54 90.00
Space group C2/c (No. 15)
Asymmetric unit:
Si1 0.000 0.063 0.250 (multiplicity 4)
Si2 0.250 0.250 0.500 (multiplicity 4)
Br1 0.000 0.342 0.750 (multiplicity 4)

Summary:
Uncorrected formation energy in eV/f.u.: 0.8
Total magnetization in μB/cell: 0.00

=====

| no. | polymorph energy (0 for the lowest one) (kJ/mol of formula units) |
| --- | --- |
| 1 | 0 |
| 2 | 251 |
| 3 | 157 |